1.
Entry from the Open Quantum Materials Database: an optimized crystal structure of Ba2Ag2AsP (PBE).

Lattice parameters (Å, degrees): 4.5987 4.5987 9.0535 90.00 90.00 120.00
Last column: nearest neighbours and their distance in Å.
Fractional coordinates of all 6 atoms:
P: 0.6667 0.3333 0.5000  3 Ag 2.66
Ba: 0.3333 0.6667 0.7463  3 P 3.47, 6 Ag 3.47-3.51, 3 As 3.51
As: 0.0000 0.0000 0.0000  3 Ag 2.66
Ba: 0.3333 0.6667 0.2537  3 P 3.47, 6 Ag 3.47-3.51, 3 As 3.51
Ag: 0.0000 0.0000 0.5000  3 P 2.66
Ag: 0.6667 0.3333 0.0000  3 As 2.66

Calculated total energy, eV per cell: -24.113
Symmetry: P-6m2

2.
Entry from the Open Quantum Materials Database: an optimized crystal structure of NdTmTl (PBE).

Lattice parameters (Å, degrees): 5.2173 5.2173 5.2173 60.00 60.00 60.00
Last column: nearest neighbours and their distance in Å.
Fractional coordinates of all 3 atoms:
Nd: 0.2500 0.2500 0.2500  4 Tl 3.19
Tm: 0.7500 0.7500 0.7500  4 Tl 3.19
Tl: 0.0000 0.0000 0.0000  4 Tm 3.19, 4 Nd 3.19

Symmetry: F-43m
Distance to the lowest polymorph of the same formula, meV per atom: 0

3.
Entry from the Open Quantum Materials Database: an optimized crystal structure of KNdO3 (PBE).

Lattice parameters (Å, degrees): 4.4978 4.4978 4.5562 90.00 90.00 90.00
Last column: nearest neighbours and their distance in Å.
Fractional coordinates of all 5 atoms:
Nd: 0.5000 0.5000 0.5661  6 O 2.26-2.30
O: 0.5000 0.0000 0.6157  2 Nd 2.26
O: 0.5000 0.5000 0.0709  2 Nd 2.26-2.30
O: 0.0000 0.5000 0.6157  2 Nd 2.26
K: 0.0000 0.0000 0.0316  8 O 2.94-3.19

Calculated total energy, eV per cell: -29.280
Symmetry: P4mm

4.
Entry from the Open Quantum Materials Database: an optimized crystal structure of Nb2SiB2 (PBE).

Lattice parameters (Å, degrees): 7.3803 7.3803 7.3803 156.81 156.81 33.02
Last column: nearest neighbours and their distance in Å.
Fractional coordinates of all 5 atoms:
B: 0.2500 0.7500 0.5000  4 B 2.10
Nb: 0.6203 0.6203 0.0000  4 B 2.36
Nb: 0.3797 0.3797 0.0000  4 B 2.36
Si: 0.0000 0.0000 0.0000  8 Nb 2.70, 4 Si 2.97
B: 0.7500 0.2500 0.5000  4 B 2.10

Symmetry: I4/mmm
Distance to the lowest polymorph of the same formula, meV per atom: 481

5.
Entry from the Open Quantum Materials Database: an optimized crystal structure of Rb2TaSnS6 (PBE).

Lattice parameters (Å, degrees): 7.0849 7.0849 7.0849 120.04 120.04 89.93
Last column: nearest neighbours and their distance in Å.
Fractional coordinates of all 10 atoms:
S: 0.2663 0.7527 0.0190  1 Ta 2.44, 1 Sn 2.57
S: 0.7430 0.7430 0.0000  1 Ta 2.44, 1 Sn 2.58
S: 0.2473 0.2663 0.5137  1 Ta 2.44, 1 Sn 2.57
Ta: 0.5000 0.5000 0.0000  6 S 2.44
S: 0.7527 0.7337 0.4863  1 Ta 2.44, 1 Sn 2.57
Rb: 0.2500 0.7500 0.5000  12 S 3.48-3.61
Sn: 0.0000 0.0000 0.0000  6 S 2.57-2.58
Rb: 0.7500 0.2500 0.5000  12 S 3.48-3.61
S: 0.7337 0.2473 0.9810  1 Ta 2.44, 1 Sn 2.57
S: 0.2570 0.2570 0.0000  1 Ta 2.44, 1 Sn 2.58

Symmetry: I4/m
Distance to the lowest polymorph of the same formula, meV per atom: 83

6.
Entry from the Open Quantum Materials Database: an optimized crystal structure of ErZr3Sn2C2 (PBE).

Lattice parameters (Å, degrees): 3.4188 3.4188 14.9696 90.00 90.00 120.00
Last column: nearest neighbours and their distance in Å.
Fractional coordinates of all 8 atoms:
Sn: 0.6667 0.3333 0.7422  3 Zr 3.14, 3 Er 3.27, 6 Sn 3.42
Zr: 0.0000 0.0000 0.5794  3 C 2.33
C: 0.3333 0.6667 0.4969  6 Zr 2.33
Zr: 0.6667 0.3333 0.0895  3 C 2.31
Sn: 0.0000 0.0000 0.2518  6 Zr 3.13, 6 Sn 3.42
Zr: 0.6667 0.3333 0.4144  3 C 2.33
Er: 0.0000 0.0000 0.9161  3 C 2.42
C: 0.3333 0.6667 0.0098  3 Zr 2.31, 3 Er 2.42

Calculated total energy, eV per cell: -62.535
Symmetry: P3m1

7.
Entry from the Open Quantum Materials Database: an optimized crystal structure of CdBi (PBE).

Lattice parameters (Å, degrees): 5.8747 4.4944 8.4993 90.00 90.00 90.00
Last column: nearest neighbours and their distance in Å.
Fractional coordinates of all 8 atoms:
Cd: 0.5000 0.5000 0.5000  6 Cd 2.94-3.00
Bi: 0.7500 0.5000 0.0587  4 Bi 3.10-3.28, 2 Cd 3.29
Cd: 0.0000 0.5000 0.5000  6 Cd 2.94-3.00
Bi: 0.2500 0.0000 0.2220  2 Cd 3.11, 2 Bi 3.28
Bi: 0.2500 0.5000 0.9413  4 Bi 3.10-3.28, 2 Cd 3.29
Cd: 0.2500 0.0000 0.6580  4 Cd 3.00, 4 Bi 3.11-3.29
Bi: 0.7500 0.0000 0.7780  2 Cd 3.11, 2 Bi 3.28
Cd: 0.7500 0.0000 0.3420  4 Cd 3.00, 4 Bi 3.11-3.29

Calculated total energy, eV per cell: -19.110
Symmetry: Pmma

8.
Entry from the Open Quantum Materials Database: an optimized crystal structure of Dy3Tm4Ni2Se2 (PBE).

Lattice parameters (Å, degrees): 8.9959 8.9959 8.9959 155.83 67.61 117.94
Last column: nearest neighbours and their distance in Å.
Fractional coordinates of all 11 atoms:
Dy: 0.2299 0.1049 0.1250  2 Ni 2.79, 3 Se 2.99-3.03
Ni: 0.3583 0.5959 0.7625  4 Tm 2.73-2.81, 2 Dy 2.79
Dy: 0.5180 0.5180 0.0000  3 Se 3.02-3.11
Tm: 0.8980 0.2576 0.6403  2 Ni 2.81, 2 Se 2.96
Dy: 0.9799 0.1049 0.8750  2 Ni 2.79, 3 Se 2.99-3.03
Ni: 0.8334 0.5959 0.2375  4 Tm 2.73-2.81, 2 Dy 2.79
Se: 0.2630 0.7630 0.5000  6 Dy 3.02-3.03, 2 Tm 3.05
Se: 0.8539 0.8539 0.0000  4 Tm 2.96, 3 Dy 2.99-3.11
Tm: 0.6173 0.2576 0.3597  2 Ni 2.81, 2 Se 2.96
Tm: 0.2161 0.9011 0.3150  2 Ni 2.73, 1 Se 3.05
Tm: 0.5861 0.9011 0.6850  2 Ni 2.73, 1 Se 3.05

Calculated total energy, eV per cell: -58.826
Symmetry: Imm2

9.
Entry from the Open Quantum Materials Database: an optimized crystal structure of Lu2Zr4Bi3C3 (PBE).

Lattice parameters (Å, degrees): 6.0531 6.0531 15.2870 101.44 101.44 60.02
Last column: nearest neighbours and their distance in Å.
Fractional coordinates of all 24 atoms:
Bi: 0.9255 0.0745 0.7500  2 Lu 3.21, 4 Zr 3.22-3.23, 6 Bi 3.45-3.58
Zr: 0.1978 0.0225 0.5801  3 C 2.33-2.34
Zr: 0.8558 0.6937 0.5802  3 C 2.33
C: 0.6712 0.1571 0.0000  4 Zr 2.33-2.34, 2 Lu 2.41-2.42
Bi: 0.4151 0.2428 0.2493  2 Lu 3.18-3.20, 4 Zr 3.21-3.22, 4 Bi 3.45-3.46
C: 0.1571 0.6712 0.5000  4 Zr 2.33-2.34, 2 Lu 2.41-2.42
Zr: 0.3063 0.1442 0.9198  3 C 2.33
Bi: 0.0745 0.9255 0.2500  2 Lu 3.21, 4 Zr 3.22-3.23, 6 Bi 3.45-3.58
Bi: 0.7572 0.5849 0.2507  2 Lu 3.18-3.20, 4 Zr 3.21-3.22, 4 Bi 3.45-3.46
Zr: 0.8022 0.9775 0.4199  3 C 2.33-2.34
C: 0.5000 0.0000 0.5000  4 Zr 2.33, 2 Lu 2.41
C: 0.3288 0.8429 0.0000  4 Zr 2.33-2.34, 2 Lu 2.41-2.42
Bi: 0.2428 0.4151 0.7493  2 Lu 3.18-3.20, 4 Zr 3.21-3.22, 4 Bi 3.45-3.46
Zr: 0.6937 0.8558 0.0802  3 C 2.33
Lu: 0.3668 0.5290 0.0860  3 C 2.41-2.42
Lu: 0.4710 0.6332 0.4140  3 C 2.41-2.42
Zr: 0.9775 0.8022 0.9199  3 C 2.33-2.34
Zr: 0.0225 0.1978 0.0801  3 C 2.33-2.34
Zr: 0.1442 0.3063 0.4198  3 C 2.33
Lu: 0.6332 0.4710 0.9140  3 C 2.41-2.42
C: 0.8429 0.3288 0.5000  4 Zr 2.33-2.34, 2 Lu 2.41-2.42
C: 0.0000 0.5000 0.0000  4 Zr 2.33, 2 Lu 2.41
Bi: 0.5849 0.7572 0.7507  2 Lu 3.18-3.20, 4 Zr 3.21-3.22, 4 Bi 3.45-3.46
Lu: 0.5290 0.3668 0.5860  3 C 2.41-2.42

Calculated total energy, eV per cell: -181.562
Symmetry: C2/c

10.
Entry from the Open Quantum Materials Database: an optimized crystal structure of HfAs2O (PBE).

Lattice parameters (Å, degrees): 3.3513 7.4194 6.0111 90.00 90.00 90.00
Last column: nearest neighbours and their distance in Å.
Fractional coordinates of all 8 atoms:
As: 0.5000 0.4424 0.5607  2 As 2.47
O: 0.5000 0.1226 0.9155  2 Hf 1.97
As: 0.0000 0.2421 0.3882  2 As 2.47
Hf: 0.0000 0.7385 0.3896  2 O 1.97
Hf: 0.0000 0.2615 0.8896  2 O 1.97
O: 0.5000 0.8774 0.4155  2 Hf 1.97
As: 0.5000 0.5576 0.0607  2 As 2.47
As: 0.0000 0.7579 0.8882  2 As 2.47

Calculated total energy, eV per cell: -58.094
Symmetry: Pmc2_1

11.
Entry from the Open Quantum Materials Database: an optimized crystal structure of BeAl2Cd (PBE).

Lattice parameters (Å, degrees): 4.5498 4.5498 4.5498 60.00 60.00 60.00
Last column: nearest neighbours and their distance in Å.
Fractional coordinates of all 4 atoms:
Cd: 0.5000 0.5000 0.5000  4 Be 2.79, 4 Al 2.79
Be: 0.7500 0.7500 0.7500  4 Cd 2.79, 4 Al 2.79
Al: 0.2500 0.2500 0.2500  4 Cd 2.79, 4 Al 2.79
Al: 0.0000 0.0000 0.0000  4 Be 2.79, 4 Al 2.79

Calculated total energy, eV per cell: -10.409
Symmetry: F-43m

12.
Entry from the Open Quantum Materials Database: an optimized crystal structure of YScAu6 (PBE).

Lattice parameters (Å, degrees): 4.9640 6.1008 5.0881 90.00 90.00 90.00
Last column: nearest neighbours and their distance in Å.
Fractional coordinates of all 8 atoms:
Au: 0.0000 0.2440 0.3386  2 Sc 2.91-2.99, 8 Au 2.94-3.12, 2 Y 3.07
Sc: 0.0000 0.0000 0.8477  12 Au 2.91-3.05
Au: 0.0000 0.5000 0.8291  8 Au 2.94-3.07, 2 Y 3.00, 2 Sc 3.05
Au: 0.5000 0.2373 0.6643  8 Au 2.90-3.21, 2 Y 2.99-3.02, 2 Sc 3.02
Au: 0.0000 0.7560 0.3386  2 Sc 2.91-2.99, 8 Au 2.94-3.12, 2 Y 3.07
Au: 0.5000 0.0000 0.1570  8 Au 2.90-3.04, 2 Sc 2.94, 2 Y 3.05
Au: 0.5000 0.7627 0.6643  8 Au 2.90-3.21, 2 Y 2.99-3.02, 2 Sc 3.02
Y: 0.5000 0.5000 0.1605  12 Au 2.99-3.07

Symmetry: Pmm2
E_form, eV per atom: -0.676